YCuPb: relaxed, PBE.

Cell and atoms, written as POSCAR:
```
YCuPb
1.0
9.3116 0.0425 -0.0006
-1.4292 3.3389 -0.0001
-0.0003 -0.0001 4.5048
Y Pb Cu
2 2 2
Direct
0.0419 0.6498 0.5954
0.5419 0.1497 0.0954
0.3556 0.4626 0.5953
0.7282 0.8366 0.5957
0.1830 0.2905 0.0954
0.9004 0.0089 0.0960
```

Results
Magnetization = 0.0 μB/f.u.
Calculated volume = 23.39 Å³ per atom
Energy of formation = -0.254 eV per atom
Total energy = -5.010 eV/atom